# 1
A relaxed SmNpSe2 crystal, computed with PBE.

Unit cell a=7.1533 b=4.0866 c=7.1083 alpha=90.00 beta=90.00 gamma=90.00
Space group Pmma (No. 51)
Asymmetric unit:
Sm1 0.0000 0.0000 0.0000
Np1 0.0000 0.5000 0.5000
Se1 0.2500 0.0000 0.3353
Se2 0.2500 0.5000 0.8307

Results
Its uncorrected formation energy is -1.32 eV per atom. The calculation puts the relative energy among the computed polymorphs at 131 meV per atom. As for the total moment: 9.57 μB/cell.

***

# 2
A relaxed BeAs2PdBr crystal, computed with PBE.

Unit cell a=4.8527 b=4.8527 c=5.2555 alpha=90.00 beta=90.00 gamma=90.00
Space group P4/mmm (No. 123)
Asymmetric unit:
Be1 0.0000 0.0000 0.0000
As1 0.0000 0.5000 0.5000
Pd1 0.5000 0.5000 0.5000
Br1 0.5000 0.5000 0.0000

Results
Its uncorrected formation energy is 0.90 eV per atom. The calculation puts the relative energy among the computed polymorphs at 437 meV per atom. As for the total moment: 1.01 μB/cell.

***

# 3
A relaxed TcIr3Os crystal, computed with PBE.

Unit cell a=6.0991 b=3.8618 c=6.1347 alpha=90.00 beta=90.18 gamma=90.00
Space group P2_1/m (No. 11)
Asymmetric unit:
Tc1 0.1478 0.2500 0.0531
Ir1 0.0477 0.7500 0.3428
Ir2 0.2500 0.7500 0.7506
Ir3 0.4492 0.7500 0.1557
Os1 0.3528 0.2500 0.4488

Results
The calculation puts the relative energy among the computed polymorphs at 0 meV per atom. As for the total moment: 0.00 μB/cell. Its energy of formation is -6.8 kJ/mol of atoms.

***

# 4
A relaxed TiSi3Sb crystal, computed with PBE.

Unit cell a=5.0808 b=5.0808 c=5.0808 alpha=90.00 beta=90.00 gamma=90.00
Space group Pm-3m (No. 221)
Asymmetric unit:
Ti1 0.0000 0.0000 0.0000
Si1 0.0000 0.5000 0.5000
Sb1 0.5000 0.5000 0.5000

Results
Its uncorrected formation energy is 1.50 eV per atom. The calculation puts the relative energy among the computed polymorphs at 846 meV per atom. As for the total moment: 2.21 μB/cell.